1.
# MgTeBr, optimized geometry, DFT GGA-PBE
# Total magnetic moment: 0.0 μB/cell
# Volume: 94 Å³/f.u.
data_MgTeBr
_chemical_formula_sum 'Mg2 Te2 Br2'
_symmetry_space_group_name_H-M 'I 4 m m'
_symmetry_Int_Tables_number 107
_symmetry_space_group_name_Hall 'I 4 -2'
_cell_length_a 3.418
_cell_length_b 3.418
_cell_length_c 16.036
_cell_angle_alpha 90.00
_cell_angle_beta 90.00
_cell_angle_gamma 90.00
loop_
_atom_site_label
_atom_site_fract_x
_atom_site_fract_y
_atom_site_fract_z
_atom_site_occupancy
Mg1 0.000 0.000 0.000 1
Te1 0.000 0.000 0.629 1
Br1 0.000 0.000 0.402 1

=====

2.
# MgTeBr, optimized geometry, DFT GGA-PBE
# Total magnetic moment: 0.0 μB/cell
# Volume: 88 Å³/f.u.
data_MgTeBr
_chemical_formula_sum 'Mg4 Te4 Br4'
_symmetry_space_group_name_H-M 'F -4 3 m'
_symmetry_Int_Tables_number 216
_symmetry_space_group_name_Hall 'F -4 2 3'
_cell_length_a 7.060
_cell_length_b 7.060
_cell_length_c 7.060
_cell_angle_alpha 90.00
_cell_angle_beta 90.00
_cell_angle_gamma 90.00
loop_
_atom_site_label
_atom_site_fract_x
_atom_site_fract_y
_atom_site_fract_z
_atom_site_occupancy
Mg1 0.000 0.000 0.000 1
Te1 0.250 0.250 0.750 1
Br1 0.250 0.250 0.250 1

=====

Stability, descending: 1, 2